1.
# I2Br, relaxed, DFT PBE-GGA
# Formation energy from raw total energies ... -9 meV/atom
# Size of the total moment ... 0.00 μB/atom
data_I2Br
_cell_length_a 6.639
_cell_length_b 6.672
_cell_length_c 7.916
_cell_angle_alpha 78.12
_cell_angle_beta 79.73
_cell_angle_gamma 69.59
_space_group_name_H-M_alt 'P 1'
_space_group_IT_number 1
loop_
_space_group_symop_operation_xyz
'x,y,z'
loop_
_atom_site_label
_atom_site_fract_x
_atom_site_fract_y
_atom_site_fract_z
I1 0.000 0.000 0.000
I2 0.134 0.294 0.159
I3 0.360 0.960 0.413
I4 0.607 0.566 0.677
Br1 0.491 0.293 0.556
Br2 0.909 0.713 0.858

---

2.
# TaCdCu2, relaxed, DFT PBE-GGA
# Size of the total moment ... 0.00 μB/atom
# ΔE_f ... 0.209 eV per atom
data_TaCdCu2
_cell_length_a 2.765
_cell_length_b 4.271
_cell_length_c 5.485
_cell_angle_alpha 90.00
_cell_angle_beta 104.50
_cell_angle_gamma 90.00
_space_group_name_H-M_alt 'P 1 m 1'
_space_group_IT_number 6
loop_
_space_group_symop_operation_xyz
'x,y,z'
'x,-y,z'
loop_
_atom_site_label
_atom_site_fract_x
_atom_site_fract_y
_atom_site_fract_z
Ta1 0.000 0.000 0.000
Cd1 0.666 0.500 0.334
Cu1 0.269 0.000 0.541
Cu2 0.403 0.500 0.805

---

3.
# Al2HgRh, relaxed, DFT PBE-GGA
# Size of the total moment ... 0.00 μB/atom
# ΔE_f ... -0.289 eV per atom
data_Al2HgRh
_cell_length_a 3.094
_cell_length_b 4.566
_cell_length_c 4.687
_cell_angle_alpha 90.00
_cell_angle_beta 90.00
_cell_angle_gamma 90.00
_space_group_name_H-M_alt 'P m m 2'
_space_group_IT_number 25
loop_
_space_group_symop_operation_xyz
'x,y,z'
'-x,-y,z'
'-x,y,z'
'x,-y,z'
loop_
_atom_site_label
_atom_site_fract_x
_atom_site_fract_y
_atom_site_fract_z
Al1 0.000 0.000 0.000
Al2 0.500 0.500 0.190
Hg1 0.000 0.500 0.687
Rh1 0.500 0.000 0.432